Computed, not measured: Pm2InGe3Pd4 after structural relaxation at the GGA-PBE level of DFT.

a b c (Å): 4.335 4.335 10.602
angles (deg): 90.00 90.00 90.00
Fractional positions:
Pm 0.000 0.500 0.240
Pm 0.500 0.000 0.760
In 0.000 0.000 0.500
Ge 0.000 0.500 0.876
Ge 0.500 0.000 0.124
Ge 0.500 0.500 0.500
Pd 0.000 0.000 0.000
Pd 0.000 0.500 0.647
Pd 0.500 0.000 0.353
Pd 0.500 0.500 0.000

Calculated values
The density of states at the Fermi level is 4.88 states/eV/f.u.

=====

Computed, not measured: PrInGePd after structural relaxation at the GGA-PBE level of DFT.

a b c (Å): 5.002 5.002 5.002
angles (deg): 60.00 60.00 60.00
Fractional positions:
Pr 0.000 0.000 0.000
In 0.500 0.500 0.500
Ge 0.250 0.250 0.250
Pd 0.750 0.750 0.750

Calculated values
The density of states at the Fermi level is 1.82 states/eV/f.u.

=====

Computed, not measured: PrIn2Ge2Pd7 after structural relaxation at the GGA-PBE level of DFT.

a b c (Å): 4.046 4.046 14.306
angles (deg): 96.51 96.51 88.81
Fractional positions:
Pr 0.000 0.000 0.000
In 0.121 0.121 0.381
In 0.879 0.879 0.619
Ge 0.400 0.400 0.736
Ge 0.600 0.600 0.264
Pd 0.061 0.563 0.161
Pd 0.340 0.340 0.565
Pd 0.437 0.939 0.839
Pd 0.500 0.500 0.000
Pd 0.563 0.061 0.161
Pd 0.660 0.660 0.435
Pd 0.939 0.437 0.839

Calculated values
The density of states at the Fermi level is 3.57 states/eV/f.u.

=====

Computed, not measured: Pr2InGe3Pd4 after structural relaxation at the GGA-PBE level of DFT.

a b c (Å): 4.377 4.377 10.574
angles (deg): 90.00 90.00 90.00
Fractional positions:
Pr 0.000 0.500 0.241
Pr 0.500 0.000 0.759
In 0.000 0.000 0.500
Ge 0.000 0.500 0.877
Ge 0.500 0.000 0.123
Ge 0.500 0.500 0.500
Pd 0.000 0.000 0.000
Pd 0.000 0.500 0.645
Pd 0.500 0.000 0.355
Pd 0.500 0.500 0.000

Calculated values
The density of states at the Fermi level is 4.37 states/eV/f.u.

=====

Computed, not measured: InGePd2Pt after structural relaxation at the GGA-PBE level of DFT.

a b c (Å): 4.889 4.889 4.992
angles (deg): 90.00 90.00 90.00
Fractional positions:
In 0.000 0.000 0.000
Ge 0.000 0.000 0.500
Pd 0.000 0.500 0.000
Pd 0.500 0.000 0.000
Pt 0.500 0.500 0.500

Calculated values
The density of states at the Fermi level is 4.00 states/eV/f.u.

=====

Computed, not measured: PuInGePd after structural relaxation at the GGA-PBE level of DFT.

a b c (Å): 4.893 4.893 4.893
angles (deg): 60.00 60.00 60.00
Fractional positions:
Pu 0.000 0.000 0.000
In 0.500 0.500 0.500
Ge 0.750 0.750 0.750
Pd 0.250 0.250 0.250

Calculated values
The density of states at the Fermi level is 11.13 states/eV/f.u.

=====

Spin magnetization values, unit μB per atom, following the record order: 0.000, 0.000, 0.000, 0.000, 0.000, 1.364.
Total energy values, unit eV/atom, following the record order: -5.46, -4.86, -5.09, -5.48, -3.69, -7.07.
Energy relative to the elements values, unit eV/atom, following the record order: -0.775, -0.523, -0.438, -0.783, 1.063, -0.350.